# Pm2Ni3Ge5

An optimized crystal structure of Pm2Ni3Ge5 (PBE, Alexandria).

Final energy (eV per cell): -226.224

```
data_Pm2Ni3Ge5
_space_group_name_H-M_alt 'I b a m'
_space_group_IT_number 72
_space_group_name_Hall '-I 2 2c'
_cell_length_a 9.827
_cell_length_b 11.779
_cell_length_c 5.962
_cell_angle_alpha 90.00
_cell_angle_beta 90.00
_cell_angle_gamma 90.00
loop_
_atom_site_label
_atom_site_fract_x
_atom_site_fract_y
_atom_site_fract_z
Pm1 0.236 0.134 0.000
Ni1 0.000 0.500 0.250
Ni2 0.109 0.135 0.500
Ge1 0.000 0.000 0.250
Ge2 0.000 0.266 0.250
Ge3 0.156 0.399 0.000
```